{"formula": "CsRbPa", "functional": "PBE", "state": "optimized geometry", "lattice_angstrom": [[9.3925, 0.0000, 0.0000], [0.0000, 9.3925, 0.0000], [0.0000, 0.0000, 9.3925]], "species": ["Cs", "Cs", "Cs", "Cs", "Rb", "Rb", "Rb", "Rb", "Pa", "Pa", "Pa", "Pa"], "frac_coords": [[0.0000, 0.0000, 0.0000], [0.0000, 0.5000, 0.5000], [0.5000, 0.0000, 0.5000], [0.5000, 0.5000, 0.0000], [0.2500, 0.2500, 0.7500], [0.2500, 0.7500, 0.2500], [0.7500, 0.2500, 0.2500], [0.7500, 0.7500, 0.7500], [0.2500, 0.2500, 0.2500], [0.2500, 0.7500, 0.7500], [0.7500, 0.2500, 0.7500], [0.7500, 0.7500, 0.2500]], "e_tot_ev_per_atom": -1.8402, "volume_a3_per_atom": 69.05, "total_magnetization_mub_per_fu": 4.98}

{"formula": "CsPaS", "functional": "PBE", "state": "optimized geometry", "lattice_angstrom": [[5.4792, 0.0000, 0.0000], [0.0000, 5.4792, 0.0000], [0.0000, 0.0000, 5.2073]], "species": ["Cs", "Pa", "S"], "frac_coords": [[0.0000, 0.0000, 0.0000], [0.5000, 0.5000, 0.0000], [0.5000, 0.5000, 0.5000]], "e_tot_ev_per_atom": -4.4395, "volume_a3_per_atom": 52.11, "total_magnetization_mub_per_fu": 2.55}

Please write out number 2 again, unchanged.
{"formula": "CsPaS", "functional": "PBE", "state": "optimized geometry", "lattice_angstrom": [[5.4792, 0.0000, 0.0000], [0.0000, 5.4792, 0.0000], [0.0000, 0.0000, 5.2073]], "species": ["Cs", "Pa", "S"], "frac_coords": [[0.0000, 0.0000, 0.0000], [0.5000, 0.5000, 0.0000], [0.5000, 0.5000, 0.5000]], "e_tot_ev_per_atom": -4.4395, "volume_a3_per_atom": 52.11, "total_magnetization_mub_per_fu": 2.55}

Repeat the first record exactly.
{"formula": "CsRbPa", "functional": "PBE", "state": "optimized geometry", "lattice_angstrom": [[9.3925, 0.0000, 0.0000], [0.0000, 9.3925, 0.0000], [0.0000, 0.0000, 9.3925]], "species": ["Cs", "Cs", "Cs", "Cs", "Rb", "Rb", "Rb", "Rb", "Pa", "Pa", "Pa", "Pa"], "frac_coords": [[0.0000, 0.0000, 0.0000], [0.0000, 0.5000, 0.5000], [0.5000, 0.0000, 0.5000], [0.5000, 0.5000, 0.0000], [0.2500, 0.2500, 0.7500], [0.2500, 0.7500, 0.2500], [0.7500, 0.2500, 0.2500], [0.7500, 0.7500, 0.7500], [0.2500, 0.2500, 0.2500], [0.2500, 0.7500, 0.7500], [0.7500, 0.2500, 0.7500], [0.7500, 0.7500, 0.2500]], "e_tot_ev_per_atom": -1.8402, "volume_a3_per_atom": 69.05, "total_magnetization_mub_per_fu": 4.98}

> Which formula does entry 2 have?

CsPaS